[1]
Compound: CdInSnHg4
Source: the Alexandria database
Functional: PBE-GGA
Structure: relaxed

a b c (Å): 7.688 7.688 9.704
angles (deg): 115.45 115.45 47.55
Fractional positions:
Cd 0.247 0.247 0.006
Cd 0.753 0.753 0.994
In 0.662 0.662 0.553
In 0.338 0.338 0.447
Sn 0.098 0.098 0.157
Sn 0.902 0.902 0.843
Hg 0.158 0.158 0.549
Hg 0.842 0.842 0.451
Hg 0.198 0.696 0.264
Hg 0.613 0.613 0.156
Hg 0.304 0.802 0.736
Hg 0.696 0.198 0.264
Hg 0.387 0.387 0.844
Hg 0.802 0.304 0.736

Output
SG: C2/m, No. 12
Uncorrected energy in eV per atom: -1.2287
DFT formation energy in eV/atom: 0.038

---

[2]
Compound: CdIn3SnHg
Source: the Alexandria database
Functional: PBE-GGA
Structure: relaxed

a b c (Å): 5.804 9.797 6.160
angles (deg): 101.89 90.00 107.23
Fractional positions:
Cd 0.973 0.945 0.242
Cd 0.027 0.055 0.758
In 0.808 0.616 0.210
In 0.861 0.722 0.742
In 0.525 0.050 0.278
In 0.139 0.278 0.258
In 0.475 0.950 0.722
In 0.192 0.384 0.790
Sn 0.356 0.711 0.012
Sn 0.644 0.289 0.988
Hg 0.690 0.380 0.537
Hg 0.310 0.620 0.463

Output
SG: C2/m, No. 12
Uncorrected energy in eV per atom: -2.1875
DFT formation energy in eV/atom: 0.052